No. 1
## NaSr3Pd (PBE-GGA)

Data for a relaxed NaSr3Pd crystal.

Energy relative to the elements   -0.269 eV per atom
Crystal system   monoclinic

Cell: 7.4175 7.4176 8.4483 Å, 88.65 88.65 108.41°
Last column: nearest neighbours and their distance in Å.
Atoms (fractional coordinates):
Na (0.7445, 0.0624, 0.2902)  10 Sr 4.18-4.36, 2 Na 4.34
Na (0.2449, 0.5628, 0.2902)  10 Sr 4.19-4.36, 2 Na 4.34
Pd (0.4950, 0.3128, 0.7901)  6 Sr 3.01-3.02
Pd (0.9951, 0.8129, 0.7901)  6 Sr 3.01-3.02
Sr (0.7355, 0.5531, 0.0391)  2 Pd 3.02
Sr (0.2353, 0.0532, 0.0391)  2 Pd 3.02
Sr (0.7547, 0.5724, 0.5410)  2 Pd 3.02
Sr (0.2546, 0.0725, 0.5409)  2 Pd 3.02
Sr (0.2451, 0.5628, 0.7900)  2 Pd 3.01
Sr (0.7449, 0.0627, 0.7900)  2 Pd 3.01

No. 2
## DyCu2SeO2 (PBE-GGA)

Data for a relaxed DyCu2SeO2 crystal.

Formation energy from raw total energies   -0.4310 eV/atom
Crystal system   tetragonal

Cell: 3.6373 3.6373 11.9643 Å, 90.00 90.00 90.00°
Last column: nearest neighbours and their distance in Å.
Atoms (fractional coordinates):
Dy (0.5000, 0.5000, 0.5000)  2 O 2.04
Cu (0.5000, 0.5000, 0.1822)  1 O 1.76
Cu (0.5000, 0.5000, 0.8178)  1 O 1.76
Se (0.5000, 0.5000, 0.0000)  2 Cu 2.18
O (0.5000, 0.5000, 0.6708)  1 Cu 1.76
O (0.5000, 0.5000, 0.3292)  1 Cu 1.76

No. 3
## BaCuBi (PBE-GGA)

Data for a relaxed BaCuBi crystal.

Energy relative to the elements   -0.434 eV per atom
Crystal system   monoclinic

Cell: 6.8086 5.3967 6.7956 Å, 66.60 66.45 66.64°
Last column: nearest neighbours and their distance in Å.
Atoms (fractional coordinates):
Ba (0.9292, 0.2948, 0.9569)  4 Cu 3.40, 4 Bi 3.70-3.71
Ba (0.4291, 0.7949, 0.4569)  4 Cu 3.40-3.41, 4 Bi 3.70
Cu (0.9292, 0.7951, 0.4568)  2 Bi 2.65, 2 Cu 2.70
Cu (0.9290, 0.2955, 0.4570)  2 Bi 2.65, 2 Cu 2.70
Bi (0.6237, 0.0449, 0.7623)  2 Cu 2.65
Bi (0.2348, 0.5449, 0.1512)  2 Cu 2.65

No. 4
## LaHf2InGe (PBE-GGA)

Data for a relaxed LaHf2InGe crystal.

Energy relative to the elements   1.596 eV per atom
Crystal system   tetragonal

Cell: 5.2490 5.8048 5.2490 Å, 90.00 90.00 90.00°
Last column: nearest neighbours and their distance in Å.
Atoms (fractional coordinates):
Ge (0.5000, 0.5000, 0.5000)  4 In 3.71, 8 Hf 3.91
In (0.0000, 0.5000, 0.0000)  2 La 2.90
Hf (0.0000, 0.0000, 0.5000)  2 La 2.62
Hf (0.5000, 0.0000, 0.0000)  2 La 2.62
La (0.0000, 0.0000, 0.0000)  4 Hf 2.62, 2 In 2.90

No. 5
## YTlIn2 (PBE-GGA)

Data for a relaxed YTlIn2 crystal.

Energy relative to the elements   -0.194 eV per atom
Crystal system   tetragonal

Cell: 3.9657 3.9657 6.8657 Å, 90.00 90.00 90.00°
Last column: nearest neighbours and their distance in Å.
Atoms (fractional coordinates):
In (0.0000, 0.0000, 0.0100)  4 In 3.24, 2 Tl 3.31-3.56, 4 Y 3.31
In (0.5000, 0.5000, 0.2450)  4 In 3.24, 4 Tl 3.28, 2 Y 3.38-3.49
Tl (0.0000, 0.0000, 0.4921)  6 In 3.28-3.56, 4 Y 3.33
Y (0.5000, 0.5000, 0.7529)  6 In 3.31-3.49, 4 Tl 3.33

No. 6
## PmNdCoGe (PBE-GGA)

Data for a relaxed PmNdCoGe crystal.

Energy relative to the elements   -0.296 eV per atom
Crystal system   cubic

Cell: 5.0837 5.0837 5.0837 Å, 60.00 60.00 60.00°
Last column: nearest neighbours and their distance in Å.
Atoms (fractional coordinates):
Co (0.2500, 0.2500, 0.2500)  4 Nd 3.11, 4 Pm 3.11
Ge (0.7500, 0.7500, 0.7500)  4 Nd 3.11, 4 Pm 3.11
Nd (0.0000, 0.0000, 0.0000)  4 Co 3.11, 4 Ge 3.11
Pm (0.5000, 0.5000, 0.5000)  4 Ge 3.11, 4 Co 3.11

No. 7
## CrMoBr (PBE-GGA)

Data for a relaxed CrMoBr crystal.

Formation energy from raw total energies   0.6200 eV/atom
Crystal system   orthorhombic

Cell: 6.7310 6.4067 3.1260 Å, 82.09 70.52 27.39°
Last column: nearest neighbours and their distance in Å.
Atoms (fractional coordinates):
Br (0.0056, 0.0056, 0.9944)  2 Cr 2.74, 2 Mo 2.91
Cr (0.6822, 0.6822, 0.3178)  2 Mo 2.31
Mo (0.3122, 0.3122, 0.6878)  2 Cr 2.31

No. 8
## Ac4SiTe2S (PBE-GGA)

Data for a relaxed Ac4SiTe2S crystal.

Formation energy from raw total energies   -1.4556 eV/atom
Crystal system   monoclinic

Cell: 4.5653 7.8222 8.1833 Å, 108.97 90.00 90.00°
Last column: nearest neighbours and their distance in Å.
Atoms (fractional coordinates):
Ac (0.5000, 0.2392, 0.2204)  2 Si 3.13, 1 S 3.13, 3 Te 3.39-3.40
Ac (0.5000, 0.7608, 0.7796)  2 Si 3.13, 1 S 3.13, 3 Te 3.39-3.40
Ac (0.0000, 0.2572, 0.7805)  1 Si 3.10, 2 S 3.13, 3 Te 3.39-3.42
Ac (0.0000, 0.7428, 0.2195)  1 Si 3.10, 2 S 3.13, 3 Te 3.39-3.42
Si (0.0000, 0.0000, 0.0000)  6 Ac 3.10-3.13
Te (0.5000, 0.0000, 0.5000)  6 Ac 3.39
Te (0.0000, 0.5000, 0.5000)  6 Ac 3.40-3.42
S (0.5000, 0.5000, 0.0000)  6 Ac 3.13

No. 9
## Y4PuPd5 (PBE-GGA)

Data for a relaxed Y4PuPd5 crystal.

Energy relative to the elements   -0.776 eV per atom
Crystal system   tetragonal

Cell: 3.4775 3.4775 18.0256 Å, 90.00 90.00 90.00°
Last column: nearest neighbours and their distance in Å.
Atoms (fractional coordinates):
Y (0.0000, 0.0000, 0.2007)  8 Pd 2.98-3.06
Y (0.0000, 0.0000, 0.4004)  8 Pd 3.03-3.04
Y (0.0000, 0.0000, 0.5996)  8 Pd 3.03-3.04
Y (0.0000, 0.0000, 0.7993)  8 Pd 2.98-3.06
Pu (0.0000, 0.0000, 0.0000)  8 Pd 3.13, 4 Pu 3.48
Pd (0.5000, 0.5000, 0.1070)  4 Y 2.98, 4 Pu 3.13
Pd (0.5000, 0.5000, 0.3021)  8 Y 3.03-3.06
Pd (0.5000, 0.5000, 0.5000)  8 Y 3.04
Pd (0.5000, 0.5000, 0.6979)  8 Y 3.03-3.06
Pd (0.5000, 0.5000, 0.8930)  4 Y 2.98, 4 Pu 3.13

No. 10
## ZnInCl2 (PBE-GGA)

Data for a relaxed ZnInCl2 crystal.

Formation energy from raw total energies   -0.3614 eV/atom
Crystal system   orthorhombic

Cell: 5.1850 5.1851 3.6339 Å, 90.00 90.00 90.07°
Last column: nearest neighbours and their distance in Å.
Atoms (fractional coordinates):
Zn (0.0000, 0.5000, 0.5000)  8 Cl 3.17
Cl (0.0000, 0.0000, 0.0000)  4 In 3.17, 4 Zn 3.17
Cl (0.5000, 0.5000, 0.0000)  4 Zn 3.17, 4 In 3.17
In (0.5000, 0.0000, 0.5000)  8 Cl 3.17

No. 11
## Cd3BiSb (PBE-GGA)

Data for a relaxed Cd3BiSb crystal.

Formation energy from raw total energies   0.0558 eV/atom
Crystal system   monoclinic

Cell: 6.8688 6.2292 6.4804 Å, 90.00 84.64 90.00°
Last column: nearest neighbours and their distance in Å.
Atoms (fractional coordinates):
Cd (0.3552, 0.7500, 0.8008)  1 Sb 2.99, 3 Cd 3.08-3.14, 2 Bi 3.12
Cd (0.1715, 0.7500, 0.3757)  3 Sb 3.08-3.13, 3 Cd 3.14-3.21, 1 Bi 3.19
Cd (0.0000, 0.0000, 0.0000)  6 Cd 3.08-3.21, 2 Bi 3.22, 2 Sb 3.24
Cd (0.6448, 0.2500, 0.1992)  1 Sb 2.99, 3 Cd 3.08-3.14, 2 Bi 3.12
Cd (0.8285, 0.2500, 0.6243)  3 Sb 3.08-3.13, 3 Cd 3.14-3.21, 1 Bi 3.19
Cd (0.0000, 0.5000, 0.0000)  6 Cd 3.08-3.21, 2 Bi 3.22, 2 Sb 3.24
Bi (0.3720, 0.2500, 0.7742)  1 Sb 3.03, 5 Cd 3.12-3.22
Bi (0.6280, 0.7500, 0.2258)  1 Sb 3.03, 5 Cd 3.12-3.22
Sb (0.7802, 0.7500, 0.6496)  6 Cd 2.99-3.24, 1 Bi 3.03
Sb (0.2198, 0.2500, 0.3504)  6 Cd 2.99-3.24, 1 Bi 3.03

No. 12
## Tc3NiW (PBE-GGA)

Data for a relaxed Tc3NiW crystal.

Energy relative to the elements   2.017 eV per atom
Crystal system   cubic

Cell: 4.6579 4.6579 4.6579 Å, 90.00 90.00 90.00°
Last column: nearest neighbours and their distance in Å.
Atoms (fractional coordinates):
Ni (0.5000, 0.5000, 0.5000)  12 Tc 3.29
Tc (0.0000, 0.5000, 0.0000)  2 W 2.33
Tc (0.0000, 0.0000, 0.5000)  2 W 2.33
Tc (0.5000, 0.0000, 0.0000)  2 W 2.33
W (0.0000, 0.0000, 0.0000)  6 Tc 2.33

| no. | spin magnetization (μB per cell) | calculated volume (Å³ per atom) |
| --- | --- | --- |
| 1 | 0.00 | 44.07 |
| 2 | 0.00 | 26.38 |
| 3 | 0.00 | 33.58 |
| 4 | 0.00 | 31.99 |
| 5 | 0.00 | 26.99 |
| 6 | 0.87 | 23.22 |
| 7 | 0.44 | 18.14 |
| 8 | 0.00 | 34.54 |
| 9 | 5.82 | 21.80 |
| 10 | 0.00 | 24.42 |
| 11 | 0.00 | 27.61 |
| 12 | 0.00 | 20.21 |